DFT (PBE-GGA) results for an optimized crystal structure of BeNi2W.

As for the volume: 11.264 Å³ per atom. For the total energy, the calculation gives -111.07 eV for the cell shown. The calculation puts the density at 11.43 g cm⁻³. The calculation puts the size of the total moment at 0.008 μB/cell.

Cell lengths 5.6485, 5.6485, 5.6485 Å; angles 90.00, 90.00, 90.00 degrees
Closest atoms and distances in Å follow each position.
Fractional coordinates of all 16 atoms:
Be 0.0000 0.0000 0.0000  4 W 2.45, 4 Ni 2.45
Be 0.0000 0.5000 0.5000  4 W 2.45, 4 Ni 2.45
Be 0.5000 0.0000 0.5000  4 W 2.45, 4 Ni 2.45
Be 0.5000 0.5000 0.0000  4 W 2.45, 4 Ni 2.45
Ni 0.0000 0.0000 0.5000  4 W 2.45, 4 Ni 2.45
Ni 0.0000 0.5000 0.0000  4 W 2.45, 4 Ni 2.45
Ni 0.2500 0.2500 0.7500  4 Ni 2.45, 4 Be 2.45
Ni 0.2500 0.7500 0.2500  4 Ni 2.45, 4 Be 2.45
Ni 0.5000 0.0000 0.0000  4 W 2.45, 4 Ni 2.45
Ni 0.5000 0.5000 0.5000  4 Ni 2.45, 4 W 2.45
Ni 0.7500 0.2500 0.2500  4 Ni 2.45, 4 Be 2.45
Ni 0.7500 0.7500 0.7500  4 Ni 2.45, 4 Be 2.45
W 0.2500 0.2500 0.2500  4 Ni 2.45, 4 Be 2.45
W 0.2500 0.7500 0.7500  4 Ni 2.45, 4 Be 2.45
W 0.7500 0.2500 0.7500  4 Ni 2.45, 4 Be 2.45
W 0.7500 0.7500 0.2500  4 Ni 2.45, 4 Be 2.45